Record 1
Here is a crystal of PrAg2 relaxed with PBEsol from Alexandria. Energies are from meta-GGA SCAN.

Calculated formation energy (eV/atom): -0.296
Magnetic moment (μB/atom): 0.001
SG: P6/mmm (191)

a b c (Å): 4.772 4.772 3.418
angles (deg): 90.00 90.00 120.00
Positions (direct):
Pr 0.000 0.000 0.000
Ag 0.333 0.667 0.500
Ag 0.667 0.333 0.500


Record 2
Here is a crystal of PrAg2 relaxed with PBEsol from Alexandria. Energies are from meta-GGA SCAN.

Calculated formation energy (eV/atom): -0.316
Magnetic moment (μB/atom): 0.000
SG: Imma (74)

a b c (Å): 4.751 7.008 8.117
angles (deg): 90.00 90.00 90.00
Positions (direct):
Pr 0.000 0.250 0.037
Pr 0.000 0.750 0.963
Pr 0.500 0.250 0.463
Pr 0.500 0.750 0.537
Ag 0.000 0.042 0.665
Ag 0.000 0.458 0.665
Ag 0.000 0.542 0.335
Ag 0.000 0.958 0.335
Ag 0.500 0.042 0.835
Ag 0.500 0.458 0.835
Ag 0.500 0.542 0.165
Ag 0.500 0.958 0.165


Record 3
Here is a crystal of PrAg relaxed with PBEsol from Alexandria. Energies are from meta-GGA SCAN.

Calculated formation energy (eV/atom): -0.302
Magnetic moment (μB/atom): 0.000
SG: Pm-3m (221)

a b c (Å): 3.708 3.708 3.708
angles (deg): 90.00 90.00 90.00
Positions (direct):
Pr 0.000 0.000 0.000
Ag 0.500 0.500 0.500


Record 4
Here is a crystal of Pr5AgS8 relaxed with PBEsol from Alexandria. Energies are from meta-GGA SCAN.

Formation energy without anion corrections (eV/atom): -2.105
Magnetic moment (μB/atom): 0.000
SG: I-4 (82)

a b c (Å): 7.356 7.356 7.356
angles (deg): 109.87 109.87 108.69
Positions (direct):
Pr 0.000 0.000 0.000
Pr 0.252 0.132 0.621
Pr 0.369 0.748 0.881
Pr 0.512 0.631 0.379
Pr 0.868 0.488 0.119
Ag 0.750 0.250 0.500
S 0.114 0.364 0.892
S 0.142 0.383 0.400
S 0.258 0.858 0.241
S 0.472 0.222 0.108
S 0.617 0.017 0.759
S 0.636 0.528 0.750
S 0.778 0.886 0.250
S 0.983 0.742 0.600


Record 5
Here is a crystal of Pr3SiAgS7 relaxed with PBEsol from Alexandria. Energies are from meta-GGA SCAN.

Formation energy without anion corrections (eV/atom): -1.756
Magnetic moment (μB/atom): 0.000
SG: P6_3 (173)

a b c (Å): 10.223 10.223 5.722
angles (deg): 90.00 90.00 120.00
Positions (direct):
Pr 0.124 0.764 0.000
Pr 0.236 0.360 0.000
Pr 0.360 0.124 0.500
Pr 0.640 0.876 0.000
Pr 0.764 0.640 0.500
Pr 0.876 0.236 0.500
Si 0.333 0.667 0.585
Si 0.667 0.333 0.085
Ag 0.000 0.000 0.462
Ag 0.000 0.000 0.962
S 0.091 0.823 0.489
S 0.114 0.524 0.731
S 0.177 0.268 0.489
S 0.268 0.091 0.989
S 0.333 0.667 0.217
S 0.410 0.886 0.731
S 0.476 0.590 0.731
S 0.524 0.410 0.231
S 0.590 0.114 0.231
S 0.667 0.333 0.717
S 0.732 0.909 0.489
S 0.823 0.732 0.989
S 0.886 0.476 0.231
S 0.909 0.177 0.989


Record 6
Here is a crystal of Pr5AgSe8 relaxed with PBEsol from Alexandria. Energies are from meta-GGA SCAN.

Formation energy without anion corrections (eV/atom): -1.920
Magnetic moment (μB/atom): 0.000
SG: I-4 (82)

a b c (Å): 7.651 7.651 7.651
angles (deg): 109.96 109.96 108.50
Positions (direct):
Pr 0.000 0.000 0.000
Pr 0.132 0.509 0.880
Pr 0.491 0.370 0.623
Pr 0.630 0.253 0.120
Pr 0.747 0.868 0.377
Ag 0.250 0.750 0.500
Se 0.018 0.261 0.401
Se 0.222 0.111 0.748
Se 0.363 0.474 0.252
Se 0.383 0.982 0.243
Se 0.526 0.778 0.889
Se 0.739 0.140 0.757
Se 0.860 0.617 0.599
Se 0.889 0.637 0.111